The following is a DFT calculation (PBE) of crystalline NaCu2BPd at its relaxed geometry.

The structure belongs to space group P4/mmm (No. 123); the cell edges are 4.0935, 4.0935 and 4.2074 Å and the angles 90.00°, 90.00° and 90.00°. Symmetry generates all atoms from Na at (0.0000, 0.0000, 0.0000), Cu at (0.0000, 0.5000, 0.5000), B at (0.5000, 0.5000, 0.5000) and Pd at (0.5000, 0.5000, 0.0000).

The value obtained for the formation energy is 63 meV/atom. As for the density of states at the Fermi level: 1.7 states/eV/f.u. Its crystal system is tetragonal.